## AlTlHg2 (PBE)

Data for an optimized crystal structure of AlTlHg2.

Structure (POSCAR):
```
AlTlHg2
1.0
-2.162 2.162 11.202
2.162 -2.162 11.202
2.162 2.162 -11.202
Al Tl Hg
2 2 4
Cartesian
0.000 0.000 0.000
0.000 2.162 5.601
2.162 0.000 5.601
0.000 0.000 11.202
3.243 1.034 -2.801
1.034 1.081 2.801
-1.081 1.128 8.402
1.128 1.081 14.003
```

## Properties
Total moment (μB per atom): 0.00


## CeBeOs (PBE)

Data for an optimized crystal structure of CeBeOs.

Structure (POSCAR):
```
CeBeOs
1.0
0.000 4.682 4.682
4.682 0.000 4.682
4.682 4.682 0.000
Ce Be Os
4 4 4
Cartesian
1.138 1.138 1.138
3.544 3.544 1.138
3.544 1.138 3.544
1.138 3.544 3.544
3.935 3.935 3.935
5.428 5.428 3.935
5.428 3.935 5.428
3.935 5.428 5.428
6.092 3.272 3.272
3.272 6.092 3.272
3.272 3.272 6.092
6.092 6.092 6.092
```

## Properties
Total moment (μB per atom): 0.15


In the order shown, the computed V values come out to 26.180, 17.103 Å³/atom.
In the order shown, the computed final energy values come out to -1.48, -6.91 eV per atom.